DFT (GGA-PBE) results for crystalline SrLiNiGe2 at its relaxed geometry.

For the formation energy, the calculation gives -212 kJ/mol of formula units. As for the calculated volume: 94.36 Å³/cell. The value obtained for the density of states at the Fermi level is 2.778 states/eV per cell.

The structure in POSCAR format:
```
SrLiNiGe2
1.0
4.315 0.000 0.000
0.000 4.315 0.000
-2.158 -2.158 5.067
Li Ge Sr Ni
1 2 1 1
Direct
0.250 0.750 0.500
0.629 0.629 0.258
0.371 0.371 0.742
0.000 0.000 0.000
0.750 0.250 0.500
```

---

DFT (GGA-PBE) results for crystalline KCd4In2Ga at its relaxed geometry.

For the formation energy, the calculation gives 4 kJ/mol of formula units. As for the calculated volume: 223.80 Å³/cell. The value obtained for the density of states at the Fermi level is 2.651 states/eV per cell.

The structure in POSCAR format:
```
KCd4In2Ga
1.0
-4.916 -0.595 0.253
-2.074 -4.206 -1.610
-1.333 -5.766 9.144
K In Cd Ga
1 2 4 1
Direct
0.000 0.000 0.000
0.756 0.756 0.731
0.244 0.244 0.269
0.866 0.866 0.403
0.404 0.404 0.789
0.134 0.134 0.597
0.596 0.596 0.211
0.500 0.500 0.500
```

---

Which of these has the lowest calculated volume?
SrLiNiGe2